## CsNiAgTe2S (GGA-PBE)

Data for a geometry-optimized CsNiAgTe2S structure. Values from VASP.

Quantum ESPRESSO input file:
```
&SYSTEM
  ibrav = 0, nat = 12, ntyp = 5
/
ATOMIC_SPECIES
Cs 132.91 Cs.upf
Ni 58.69 Ni.upf
Ag 107.87 Ag.upf
Te 127.60 Te.upf
S 32.06 S.upf
CELL_PARAMETERS angstrom
1.956 -8.189 0.000
1.956 8.189 0.000
0.000 0.000 10.905
ATOMIC_POSITIONS crystal
Cs 0.248 0.752 0.750
Cs 0.752 0.248 0.250
Ni 0.500 0.500 0.000
Ni 0.500 0.500 0.500
Ag 0.039 0.961 0.250
Ag 0.961 0.039 0.750
Te 0.102 0.898 0.017
Te 0.102 0.898 0.483
Te 0.898 0.102 0.517
Te 0.898 0.102 0.983
S 0.442 0.558 0.250
S 0.558 0.442 0.750
```

Properties
For the calculated total energy, the calculation gives -3.47 eV per atom. The calculation puts the density at 5.6 Mg/m³. As for the total moment: 0.0 μB/cell. The volume is 29.1 Å³/atom.

## CsNiAgTe2Se (GGA-PBE)

Data for a geometry-optimized CsNiAgTe2Se structure. Values from VASP.

Quantum ESPRESSO input file:
```
&SYSTEM
  ibrav = 0, nat = 12, ntyp = 5
/
ATOMIC_SPECIES
Cs 132.91 Cs.upf
Ni 58.69 Ni.upf
Ag 107.87 Ag.upf
Te 127.60 Te.upf
Se 78.96 Se.upf
CELL_PARAMETERS angstrom
1.964 -8.317 0.000
1.964 8.317 0.000
0.000 0.000 10.923
ATOMIC_POSITIONS crystal
Cs 0.246 0.754 0.750
Cs 0.754 0.246 0.250
Ni 0.000 0.000 0.000
Ni 0.000 0.000 0.500
Ag 0.454 0.546 0.250
Ag 0.546 0.454 0.750
Te 0.399 0.601 0.013
Te 0.399 0.601 0.487
Te 0.601 0.399 0.513
Te 0.601 0.399 0.987
Se 0.061 0.939 0.250
Se 0.939 0.061 0.750
```

Properties
For the calculated total energy, the calculation gives -3.42 eV per atom. The calculation puts the density at 5.9 Mg/m³. As for the total moment: 0.0 μB/cell. The volume is 29.7 Å³/atom.

## CsNiAgTeSe2 (GGA-PBE)

Data for a geometry-optimized CsNiAgTeSe2 structure. Values from VASP.

Quantum ESPRESSO input file:
```
&SYSTEM
  ibrav = 0, nat = 12, ntyp = 5
/
ATOMIC_SPECIES
Cs 132.91 Cs.upf
Ni 58.69 Ni.upf
Ag 107.87 Ag.upf
Te 127.60 Te.upf
Se 78.96 Se.upf
CELL_PARAMETERS angstrom
1.838 -8.586 0.000
1.838 8.586 0.000
0.000 0.000 10.763
ATOMIC_POSITIONS crystal
Cs 0.239 0.761 0.750
Cs 0.761 0.239 0.250
Ni 0.000 0.000 0.000
Ni 0.000 0.000 0.500
Ag 0.443 0.557 0.250
Ag 0.557 0.443 0.750
Te 0.068 0.932 0.250
Te 0.932 0.068 0.750
Se 0.406 0.594 0.017
Se 0.406 0.594 0.483
Se 0.594 0.406 0.517
Se 0.594 0.406 0.983
```

Properties
For the calculated total energy, the calculation gives -3.52 eV per atom. The calculation puts the density at 5.7 Mg/m³. As for the total moment: 0.2 μB/cell. The volume is 28.3 Å³/atom.

## CsNpAgTe3 (GGA-PBE)

Data for a geometry-optimized CsNpAgTe3 structure. Values from VASP.

Quantum ESPRESSO input file:
```
&SYSTEM
  ibrav = 0, nat = 12, ntyp = 4
/
ATOMIC_SPECIES
Cs 132.91 Cs.upf
Np 237.00 Np.upf
Ag 107.87 Ag.upf
Te 127.60 Te.upf
CELL_PARAMETERS angstrom
2.250 -8.447 0.000
2.250 8.447 0.000
0.000 0.000 11.541
ATOMIC_POSITIONS crystal
Cs 0.249 0.751 0.750
Cs 0.751 0.249 0.250
Np 0.500 0.500 0.000
Np 0.500 0.500 0.500
Ag 0.041 0.959 0.250
Ag 0.959 0.041 0.750
Te 0.122 0.878 0.040
Te 0.122 0.878 0.460
Te 0.438 0.562 0.250
Te 0.562 0.438 0.750
Te 0.878 0.122 0.540
Te 0.878 0.122 0.960
```

Properties
For the calculated total energy, the calculation gives -5.06 eV per atom. The calculation puts the density at 6.5 Mg/m³. As for the total moment: 6.0 μB/cell. The volume is 36.6 Å³/atom.